# 1
Computed, not measured: a geometry-optimized Ba2AgRh structure at the PBE-GGA level of DFT.

It has space group Pmmm (No. 47), with a = 3.825 Å, b = 3.913 Å, c = 8.256 Å, α = 90.00°, β = 90.00° and γ = 90.00°. The asymmetric unit holds Ba at (0.000, 0.000, 0.222), Ag at (0.500, 0.500, 0.500) and Rh at (0.500, 0.500, 0.000).

The electronic total energy is -14.609 eV per cell. For the density of states at the Fermi level, the calculation gives 1.3 states/eV/cell.

---

# 2
Computed, not measured: a geometry-optimized Ba5AgRh structure at the PBE-GGA level of DFT.

It has space group P2_1/m (No. 11), with a = 10.250 Å, b = 4.745 Å, c = 13.665 Å, α = 90.00°, β = 92.18° and γ = 90.00°. The asymmetric unit holds Ba at (0.022, 0.250, 0.361), Ba at (0.137, 0.750, 0.931), Ba at (0.320, 0.250, 0.710), Ba at (0.351, 0.750, 0.439), Ba at (0.354, 0.250, 0.160), Ag at (0.070, 0.750, 0.181) and Rh at (0.492, 0.750, 0.656).

The electronic total energy is -41.649 eV per cell. For the density of states at the Fermi level, the calculation gives 12.4 states/eV/cell.

---

# 3
Computed, not measured: a geometry-optimized Ba6AgRh2 structure at the PBE-GGA level of DFT.

It has space group P-31m (No. 162), with a = 7.8785 Å, b = 7.8785 Å, c = 7.6620 Å, α = 90.00°, β = 90.00° and γ = 120.00°. The asymmetric unit holds Ba at (0.0000, 0.3505, 0.2271), Ag at (0.0000, 0.0000, 0.5000) and Rh at (0.3333, 0.6667, 0.0000).

The energy above the most stable polymorph in this dataset is 0 meV/atom. For the density of states at the Fermi level, the calculation gives 7.0 states/eV/cell.

---

# 4
Computed, not measured: a geometry-optimized Ba2AgRh structure at the PBE-GGA level of DFT.

It has space group F-43m (No. 216), with a = 7.605 Å, b = 7.605 Å, c = 7.605 Å, α = 90.00°, β = 90.00° and γ = 90.00°. The asymmetric unit holds Ba at (0.000, 0.000, 0.000), Ba at (0.250, 0.250, 0.250), Ag at (0.000, 0.000, 0.500) and Rh at (0.250, 0.250, 0.750).

The electronic total energy is -54.759 eV per cell. For the density of states at the Fermi level, the calculation gives 5.3 states/eV/cell.

---

# 5
Computed, not measured: a geometry-optimized Ba2AgRh structure at the PBE-GGA level of DFT.

It has space group P4/mmm (No. 123), with a = 5.619 Å, b = 5.619 Å, c = 3.879 Å, α = 90.00°, β = 90.00° and γ = 90.00°. The asymmetric unit holds Ba at (0.000, 0.500, 0.000), Ag at (0.000, 0.000, 0.500) and Rh at (0.500, 0.500, 0.500).

The electronic total energy is -14.371 eV per cell. For the density of states at the Fermi level, the calculation gives 2.1 states/eV/cell.

---

# 6
Computed, not measured: a geometry-optimized Ba8Ag6Rh structure at the PBE-GGA level of DFT.

It has space group R-3 (No. 148, hexagonal axes), with a = 10.4453 Å, b = 10.4453 Å, c = 19.2641 Å, α = 90.00°, β = 90.00° and γ = 120.00°. The asymmetric unit holds Ba at (0.0000, 0.0000, 0.1683), Ba at (0.0187, 0.2507, 0.5931), Ag at (0.0026, 0.4102, 0.4377) and Rh at (0.0000, 0.0000, 0.5000).

The electronic total energy is -128.714 eV per cell. For the density of states at the Fermi level, the calculation gives 27.1 states/eV/cell.

---

# 7
Computed, not measured: a geometry-optimized Ba4Ag2Rh structure at the PBE-GGA level of DFT.

It has space group I4/mmm (No. 139), with a = 5.813 Å, b = 5.813 Å, c = 17.568 Å, α = 90.00°, β = 90.00° and γ = 90.00°. The asymmetric unit holds Ba at (0.000, 0.000, 0.180), Ba at (0.000, 0.500, 0.000), Ag at (0.000, 0.000, 0.375) and Rh at (0.000, 0.000, 0.000).

The energy above the most stable polymorph in this dataset is 75 meV/atom. For the density of states at the Fermi level, the calculation gives 10.1 states/eV/cell.

---

# 8
Computed, not measured: a geometry-optimized BaAgRh2 structure at the PBE-GGA level of DFT.

It has space group Immm (No. 71), with a = 4.529 Å, b = 4.551 Å, c = 7.940 Å, α = 90.00°, β = 90.00° and γ = 90.00°. The asymmetric unit holds Ba at (0.000, 0.000, 0.000), Ag at (0.000, 0.000, 0.500) and Rh at (0.000, 0.500, 0.249).

The electronic total energy is -35.995 eV per cell. For the density of states at the Fermi level, the calculation gives 13.9 states/eV/cell.